Entry from the Alexandria database: a relaxed structure of Zn5Hg2Pd12 (PBE-GGA).

Cell and atoms, written as POSCAR:
```
Zn5Hg2Pd12
1.0
7.333 -2.789 0.000
7.333 2.789 0.000
-2.235 0.000 8.059
Zn Hg Pd
5 2 12
Cartesian
0.000 0.000 0.000 Zn
4.127 0.000 0.957 Zn
3.756 0.000 5.162 Zn
8.675 0.000 2.897 Zn
8.305 0.000 7.102 Zn
6.216 1.404 4.029 Hg
6.216 -1.404 4.029 Hg
3.555 1.404 3.076 Pd
3.152 1.381 7.236 Pd
-0.258 0.000 6.472 Pd
9.279 1.381 0.823 Pd
8.876 1.404 4.982 Pd
6.699 0.000 1.301 Pd
5.732 0.000 6.758 Pd
3.555 -1.404 3.076 Pd
3.152 -1.381 7.236 Pd
12.689 0.000 1.587 Pd
9.279 -1.381 0.823 Pd
8.876 -1.404 4.982 Pd
```

The calculation puts the theoretical density at 10.10 g/cm³. The density of states at the Fermi level comes out at 0.494 states/eV per atom. As for the total magnetization: 0.00 μB per formula unit. For the formation energy, the calculation gives -145 meV per atom.